NpInH2: relaxed, PBE.

a b c (Å): 3.5692 3.5692 5.7878
angles (deg): 72.04 72.04 60.00
Last column: nearest neighbours and their distance in Å.
Positions (direct):
H: 0.7050 0.7050 0.8849  3 Np 2.15, 3 H 2.41
H: 0.2950 0.2950 0.1151  3 Np 2.15, 3 H 2.41
In: 0.5000 0.5000 0.5000  6 H 2.93
Np: 0.0000 0.0000 0.0000  6 H 2.15

Density ... 9847 kg/m3
E_tot ... -5.608 eV per atom



NpInH: relaxed, PBE.

a b c (Å): 3.3224 3.3224 5.6262
angles (deg): 90.00 90.00 120.00
Last column: nearest neighbours and their distance in Å.
Positions (direct):
H: 0.3333 0.6667 0.6121  3 Np 2.15
In: 0.0000 0.0000 0.9470  3 H 2.69
Np: 0.6667 0.3333 0.4409  3 H 2.15

Density ... 10893 kg/m3
E_tot ... -6.244 eV per atom



Which of these has the lowest density? NpInH2



The highest E_tot belongs to which entry? NpInH2



Which formula does entry 2 have? NpInH